# CsCd3Rh, relaxed, DFT GGA-PBE
# crystal system	cubic
# calculated density	6.157	Mg/m³
# total magnetic moment	0.00	μB per cell
# ΔE_f	-0.093	eV per atom
# E above lowest polymorph	5	meV/atom
data_CsCd3Rh
_chemical_formula_sum 'Cs1 Cd3 Rh1'
_space_group_name_H-M_alt 'P m -3 m'
_space_group_IT_number 221
_space_group_name_Hall '-P 4 2 3'
_cell_length_a 5.3666
_cell_length_b 5.3666
_cell_length_c 5.3666
_cell_angle_alpha 90.00
_cell_angle_beta 90.00
_cell_angle_gamma 90.00
loop_
_atom_site_label
_atom_site_type_symbol
_atom_site_fract_x
_atom_site_fract_y
_atom_site_fract_z
Cs1 Cs 0.0000 0.0000 0.0000
Cd1 Cd 0.0000 0.5000 0.5000
Rh1 Rh 0.5000 0.5000 0.5000

---

# CaMgI2F, relaxed, DFT GGA-PBE
# crystal system	tetragonal
# calculated density	2.853	Mg/m³
# total magnetic moment	0.84	μB per cell
# ΔE_f (raw)	-0.699	eV/atom
data_CaMgI2F
_chemical_formula_sum 'Ca1 Mg1 I2 F1'
_space_group_name_H-M_alt 'P 4/m m m'
_space_group_IT_number 123
_space_group_name_Hall '-P 4 2'
_cell_length_a 5.4085
_cell_length_b 5.4085
_cell_length_c 6.7085
_cell_angle_alpha 90.00
_cell_angle_beta 90.00
_cell_angle_gamma 90.00
loop_
_atom_site_label
_atom_site_type_symbol
_atom_site_fract_x
_atom_site_fract_y
_atom_site_fract_z
Ca1 Ca 0.0000 0.0000 0.0000
Mg1 Mg 0.0000 0.0000 0.5000
I1 I 0.0000 0.5000 0.5000
F1 F 0.5000 0.5000 0.0000